Record 1
## DyErHg4 (PBE)

Data for an optimized crystal structure of DyErHg4.

Structure (POSCAR):
```
DyErHg4
1.0
5.190 0.000 0.000
0.000 3.884 0.000
0.000 0.000 14.619
Dy Er Hg
2 2 8
direct
0.000 0.000 0.000
0.000 0.500 0.500
0.500 0.000 0.791
0.500 0.500 0.291
0.000 0.000 0.331
0.000 0.000 0.666
0.000 0.500 0.166
0.000 0.500 0.831
0.500 0.000 0.126
0.500 0.000 0.459
0.500 0.500 0.626
0.500 0.500 0.959
```

Values from the calculation:
Formation energy from the elements: -0.39 eV/atom
Density: 12.76 Mg/m³
Polymorph energy (0 for the lowest one): 0.000 eV per atom
E_tot: -25.38 eV/cell
Spin magnetization: 0.0 μB per formula unit

Record 2
## PaMnSn (PBE)

Data for an optimized crystal structure of PaMnSn.

Structure (POSCAR):
```
PaMnSn
1.0
4.410 0.000 0.000
0.000 11.857 0.000
0.000 0.000 4.524
Pa Mn Sn
4 4 4
direct
0.000 0.100 0.250
0.000 0.900 0.750
0.500 0.400 0.750
0.500 0.600 0.250
0.000 0.247 0.750
0.000 0.753 0.250
0.500 0.253 0.250
0.500 0.747 0.750
0.000 0.379 0.250
0.000 0.621 0.750
0.500 0.121 0.750
0.500 0.879 0.250
```

Values from the calculation:
Formation energy from the elements: -0.16 eV/atom
Density: 11.36 Mg/m³
E_tot: -92.61 eV/cell
Spin magnetization: 0.0 μB per formula unit